1.
The following is a DFT calculation (PBE) of a relaxed structure of La5Sm2Y6.

Geometry as POSCAR:
```
La5Sm2Y6
1.0
11.8305 0.0000 0.0000
0.0000 20.9382 0.0000
0.0000 0.0000 3.6485
La Sm Y
10 4 12
direct
0.0000 0.0000 0.0000
0.0780 0.2727 0.0000
0.2024 0.5475 0.0000
0.2976 0.0475 0.0000
0.4220 0.7727 0.0000
0.5000 0.5000 0.0000
0.5780 0.2273 0.0000
0.7024 0.9525 0.0000
0.7976 0.4525 0.0000
0.9220 0.7273 0.0000
0.1742 0.7112 0.5000
0.3258 0.2112 0.5000
0.6742 0.7888 0.5000
0.8258 0.2888 0.5000
0.0598 0.4193 0.5000
0.0783 0.1316 0.5000
0.1795 0.8628 0.0000
0.3205 0.3628 0.0000
0.4217 0.6316 0.5000
0.4402 0.9193 0.5000
0.5598 0.0807 0.5000
0.5783 0.3684 0.5000
0.6795 0.6372 0.0000
0.8205 0.1372 0.0000
0.9217 0.8684 0.5000
0.9402 0.5807 0.5000
```

Properties
The formation enthalpy at 0 K is 92 meV per atom.

=====

2.
The following is a DFT calculation (PBE) of a relaxed structure of BaTmPuO6.

Geometry as POSCAR:
```
BaTmPuO6
1.0
5.7709 0.0000 0.0000
-2.8854 4.9977 0.0000
0.0000 0.0000 11.1733
Ba Tm Pu O
2 2 2 12
direct
0.0000 0.0000 0.0000
0.0000 0.0000 0.5000
0.3333 0.6667 0.2500
0.6667 0.3333 0.7500
0.3333 0.6667 0.7500
0.6667 0.3333 0.2500
0.0276 0.3892 0.6508
0.0276 0.6384 0.8492
0.3616 0.3892 0.8492
0.3616 0.9724 0.6508
0.3892 0.0276 0.1508
0.3892 0.3616 0.3492
0.6108 0.6384 0.6508
0.6108 0.9724 0.8492
0.6384 0.0276 0.3492
0.6384 0.6108 0.1508
0.9724 0.3616 0.1508
0.9724 0.6108 0.3492
```

Properties
As for the energy relative to the elements, uncorrected: -2.89 eV/atom.

=====

3.
The following is a DFT calculation (PBE) of a relaxed structure of BeTc2Te.

Geometry as POSCAR:
```
BeTc2Te
1.0
-2.0017 2.0017 8.5351
2.0017 -2.0017 8.5351
2.0017 2.0017 -8.5351
Be Tc Te
2 4 2
direct
0.0000 0.0000 0.0000
0.7500 0.2500 0.5000
0.0480 0.6250 0.9230
0.3750 0.2980 0.4230
0.7020 0.1250 0.0770
0.8750 0.9520 0.5770
0.2500 0.7500 0.5000
0.5000 0.5000 0.0000
```

Properties
As for the offset from the most stable computed form: 34.78 kJ/mol of atoms. As for the energy relative to the elements, uncorrected: 0.49 eV/atom.

=====

One value per record, in order, for energy: -71.668; -76.524; -25.627 eV per formula unit.